No. 1
Material: Er2SbN
Method: DFT, PBE-GGA
State: relaxed

Calculated values
Its energy above the most stable polymorph in this dataset is 57 meV/atom. The symmetry is Pnma, No. 62. Its crystal system is orthorhombic. The value obtained for the density of states at the Fermi level is 1.3 states/eV per cell. The electronic total energy is -26.90 eV/f.u. The formation energy (no corrections) comes out at -30.7 kcal/mol of atoms.

```
16
Lattice="4.042 0.000 0.000 0.000 7.064 0.000 0.000 0.000 12.760" Properties=species:S:1:pos:R:3 pbc="T T T"
Er 1.011 6.264 3.425
Er 1.011 2.732 2.955
Er 3.032 0.800 9.335
Er 1.011 5.820 6.846
Er 3.032 4.331 9.805
Er 1.011 2.288 12.294
Er 3.032 4.776 0.466
Er 3.032 1.244 5.914
N 3.032 3.151 11.598
N 1.011 0.381 5.218
N 3.032 6.683 7.542
N 1.011 3.913 1.162
Sb 3.032 0.716 1.709
Sb 1.011 2.816 8.089
Sb 1.011 6.348 11.051
Sb 3.032 4.248 4.671
```

No. 2
Material: ErSbN
Method: DFT, PBE-GGA
State: relaxed

Calculated values
The symmetry is I4/mmm, No. 139. Its crystal system is tetragonal. The value obtained for the density of states at the Fermi level is 1.5 states/eV per cell. The electronic total energy is -19.90 eV/f.u. The formation energy (no corrections) comes out at -22.2 kcal/mol of atoms.

```
6
Lattice="3.414 0.000 0.000 0.000 3.414 0.000 -1.707 -1.707 10.292" Properties=species:S:1:pos:R:3 pbc="T T T"
Er 1.707 1.707 3.923
Er 0.000 0.000 6.369
Sb 0.000 0.000 1.681
Sb 1.707 1.707 8.611
N 0.000 0.000 4.071
N 1.707 1.707 6.221
```

Repeat the first record exactly.
Material: Er2SbN
Method: DFT, PBE-GGA
State: relaxed

Calculated values
Its energy above the most stable polymorph in this dataset is 57 meV/atom. The symmetry is Pnma, No. 62. Its crystal system is orthorhombic. The value obtained for the density of states at the Fermi level is 1.3 states/eV per cell. The electronic total energy is -26.90 eV/f.u. The formation energy (no corrections) comes out at -30.7 kcal/mol of atoms.

```
16
Lattice="4.042 0.000 0.000 0.000 7.064 0.000 0.000 0.000 12.760" Properties=species:S:1:pos:R:3 pbc="T T T"
Er 1.011 6.264 3.425
Er 1.011 2.732 2.955
Er 3.032 0.800 9.335
Er 1.011 5.820 6.846
Er 3.032 4.331 9.805
Er 1.011 2.288 12.294
Er 3.032 4.776 0.466
Er 3.032 1.244 5.914
N 3.032 3.151 11.598
N 1.011 0.381 5.218
N 3.032 6.683 7.542
N 1.011 3.913 1.162
Sb 3.032 0.716 1.709
Sb 1.011 2.816 8.089
Sb 1.011 6.348 11.051
Sb 3.032 4.248 4.671
```

Which of these has the highest density of states at the Fermi level? ErSbN

What is the formula in the first record? Er2SbN